Record 1
A plane-wave DFT calculation with GGA-PBE was carried out for crystalline SrCoSb4 at its relaxed geometry.

Crystal system   cubic
Total magnetization   2.06 μB per cell
Energy relative to the elements, uncorrected   0.278 eV per atom
Space group   F-43m
E_tot   -23.6 eV/cell

Unit cell a=6.2730 b=6.2730 c=6.2730 alpha=60.00 beta=60.00 gamma=60.00
With the nearest neighbours (Å) after each atom.
Fractional positions:
Sb: 0.3738 0.8786 0.3738  6 Sb 3.11-3.17
Sb: 0.8786 0.3738 0.3738  6 Sb 3.11-3.17
Sb: 0.3738 0.3738 0.3738  6 Sb 3.11-3.17
Sb: 0.3738 0.3738 0.8786  6 Sb 3.11-3.17
Sr: 0.7500 0.7500 0.7500  12 Sb 3.68, 4 Co 3.84
Co: 0.0000 0.0000 0.0000  12 Sb 3.67, 4 Sr 3.84

***

Record 2
A plane-wave DFT calculation with GGA-PBE was carried out for crystalline ScCoSb2Te at its relaxed geometry.

Crystal system   tetragonal
Total magnetization   2.16 μB per cell
Energy relative to the elements, uncorrected   0.732 eV per atom
Space group   P4/mmm
E_tot   -21.2 eV/cell

Unit cell a=5.4424 b=5.4424 c=5.4404 alpha=90.00 beta=90.00 gamma=90.00
With the nearest neighbours (Å) after each atom.
Fractional positions:
Co: 0.5000 0.5000 0.5000  8 Sb 3.85, 4 Te 3.85
Sc: 0.0000 0.0000 0.0000  2 Te 2.72, 4 Sb 2.72
Sb: 0.5000 0.0000 0.0000  2 Sc 2.72
Sb: 0.0000 0.5000 0.0000  2 Sc 2.72
Te: 0.0000 0.0000 0.5000  2 Sc 2.72

***

Record 3
A plane-wave DFT calculation with GGA-PBE was carried out for crystalline CaAc2Pt at its relaxed geometry.

Energy of formation from the pure elements   -571 meV per atom
Crystal system   trigonal
Total magnetization   0.00 μB per cell
Space group   R-3m
E_tot   -18.5 eV/cell

Unit cell a=4.3202 b=4.3202 c=10.4461 alpha=78.07 beta=78.07 gamma=60.00
With the nearest neighbours (Å) after each atom.
Fractional positions:
Pt: 0.0000 0.0000 0.0000  6 Ac 3.03
Ca: 0.5000 0.5000 0.5000  6 Ac 4.18, 6 Ca 4.32
Ac: 0.2769 0.2769 0.1693  3 Pt 3.03
Ac: 0.7231 0.7231 0.8307  3 Pt 3.03

***

Record 4
A plane-wave DFT calculation with GGA-PBE was carried out for crystalline TlGaP2S at its relaxed geometry.

Crystal system   tetragonal
Total magnetization   1.80 μB per cell
Energy relative to the elements, uncorrected   1.110 eV per atom
Space group   P4/mmm
E_tot   -14.8 eV/cell

Unit cell a=5.1792 b=5.1792 c=5.2979 alpha=90.00 beta=90.00 gamma=90.00
With the nearest neighbours (Å) after each atom.
Fractional positions:
S: 0.0000 0.0000 0.5000  2 Tl 2.65
P: 0.0000 0.5000 0.0000  2 Tl 2.59
P: 0.5000 0.0000 0.0000  2 Tl 2.59
Ga: 0.5000 0.5000 0.5000  4 S 3.66, 8 P 3.70
Tl: 0.0000 0.0000 0.0000  4 P 2.59, 2 S 2.65

***

Record 5
A plane-wave DFT calculation with GGA-PBE was carried out for crystalline CsSr2Pd at its relaxed geometry.

Energy of formation from the pure elements   -11 meV per atom
Crystal system   tetragonal
Total magnetization   0.00 μB per cell
Space group   I-42d
E_tot   -18.9 eV/cell

Unit cell a=9.2424 b=9.2424 c=9.2822 alpha=60.14 beta=60.14 gamma=90.00
With the nearest neighbours (Å) after each atom.
Fractional positions:
Sr: 0.3658 0.6250 0.2500  2 Pd 2.84
Sr: 0.8750 0.6342 0.7500  2 Pd 2.84
Sr: 0.3842 0.1250 0.2500  2 Pd 2.84
Sr: 0.3750 0.6158 0.7500  2 Pd 2.84
Pd: 0.2500 0.7500 0.5000  4 Sr 2.84
Pd: 0.5000 0.5000 0.0000  4 Sr 2.84
Cs: 0.7500 0.2500 0.5000  12 Sr 5.35-5.50, 4 Pd 5.68, 4 Cs 5.68
Cs: 0.0000 0.0000 0.0000  12 Sr 5.35-5.50, 4 Pd 5.68, 4 Cs 5.68

***

Record 6
A plane-wave DFT calculation with GGA-PBE was carried out for crystalline Ca3In4Hg2 at its relaxed geometry.

Energy of formation from the pure elements   -441 meV per atom
Crystal system   monoclinic
Total magnetization   0.00 μB per cell
Space group   C2/m
E_tot   -21.5 eV/cell

Unit cell a=4.9696 b=6.2405 c=9.4364 alpha=113.07 beta=90.00 gamma=113.46
With the nearest neighbours (Å) after each atom.
Fractional positions:
In: 0.7490 0.4979 0.0828  1 Hg 2.90, 3 In 2.94-3.15
In: 0.9734 0.9469 0.6379  2 Hg 2.89, 2 In 2.91-3.15
In: 0.2510 0.5021 0.9172  1 Hg 2.90, 3 In 2.94-3.15
In: 0.0266 0.0531 0.3621  2 Hg 2.89, 2 In 2.91-3.15
Ca: 0.6751 0.3503 0.6525  4 Hg 3.33-3.57, 7 In 3.35-3.55
Ca: 0.0000 0.0000 0.0000  8 In 3.28-3.61, 4 Hg 3.40
Ca: 0.3249 0.6497 0.3475  4 Hg 3.33-3.57, 7 In 3.35-3.55
Hg: 0.3956 0.7911 0.7284  3 In 2.89-2.90
Hg: 0.6044 0.2089 0.2716  3 In 2.89-2.90

***

Record 7
A plane-wave DFT calculation with GGA-PBE was carried out for crystalline Sm3Hg2Ru3C at its relaxed geometry.

Energy of formation from the pure elements   -51 meV per atom
Crystal system   hexagonal
Total magnetization   0.00 μB per cell
Space group   P-62m
E_tot   -52.3 eV/cell

Unit cell a=3.4410 b=7.7669 c=7.7669 alpha=120.00 beta=90.00 gamma=90.00
With the nearest neighbours (Å) after each atom.
Fractional positions:
Ru: 0.5000 0.7957 0.0000  2 C 2.34
Ru: 0.5000 0.0000 0.7957  2 C 2.34
Ru: 0.5000 0.2043 0.2043  2 C 2.34
Hg: 0.5000 0.6667 0.3333  6 Sm 3.07, 3 Ru 3.21, 2 Hg 3.44
Hg: 0.5000 0.3333 0.6667  6 Sm 3.07, 3 Ru 3.21, 2 Hg 3.44
C: 0.0000 0.0000 0.0000  6 Ru 2.34
Sm: 0.0000 0.0000 0.3444  1 C 2.67, 4 Ru 2.90
Sm: 0.0000 0.6556 0.6556  1 C 2.67, 4 Ru 2.90
Sm: 0.0000 0.3444 0.0000  1 C 2.67, 4 Ru 2.90

***

Record 8
A plane-wave DFT calculation with GGA-PBE was carried out for crystalline Tb2SmTm5In at its relaxed geometry.

Energy of formation from the pure elements   -3 meV per atom
Crystal system   orthorhombic
Total magnetization   0.00 μB per cell
Space group   Cmcm
E_tot   -78.2 eV/cell

Unit cell a=5.3107 b=10.3588 c=10.4048 alpha=90.00 beta=90.00 gamma=104.85
With the nearest neighbours (Å) after each atom.
Fractional positions:
Tm: 0.3857 0.7714 0.0082  4 Tb 3.44, 6 Tm 3.47-3.66, 1 Sm 3.53
Tm: 0.9895 0.9790 0.5082  2 In 3.15, 2 Tb 3.35
Tm: 0.0105 0.0210 0.0082  2 In 3.15, 2 Tb 3.35
Tm: 0.7104 0.4208 0.8076  1 In 3.11, 2 Tm 3.26, 2 Sm 3.38, 3 Tb 3.38-3.47
Tm: 0.6143 0.2286 0.5082  4 Tb 3.44, 6 Tm 3.47-3.66, 1 Sm 3.53
Tm: 0.2897 0.5794 0.7089  1 In 3.11, 2 Tm 3.26, 2 Sm 3.38, 3 Tb 3.38-3.47
Tm: 0.5000 0.0000 0.2582  2 In 3.22-3.23, 2 Tm 3.47, 4 Tb 3.56
Tm: 0.7103 0.4206 0.2089  1 In 3.11, 2 Tm 3.26, 2 Sm 3.38, 3 Tb 3.38-3.47
Tm: 0.2896 0.5792 0.3076  1 In 3.11, 2 Tm 3.26, 2 Sm 3.38, 3 Tb 3.38-3.47
Tm: 0.5000 0.0000 0.7582  2 In 3.22-3.23, 2 Tm 3.47, 4 Tb 3.56
Tb: 0.1163 0.2327 0.2980  9 Tm 3.35-3.69, 1 Sm 3.54
Tb: 0.8837 0.7673 0.7980  9 Tm 3.35-3.69, 1 Sm 3.54
Tb: 0.1164 0.2328 0.7184  9 Tm 3.35-3.69, 1 Sm 3.54
Tb: 0.8836 0.7672 0.2184  9 Tm 3.35-3.69, 1 Sm 3.54
Sm: 0.2094 0.4189 0.0083  7 Tm 3.38-3.53, 2 In 3.51, 2 Tb 3.54
Sm: 0.7906 0.5811 0.5083  7 Tm 3.38-3.53, 2 In 3.51, 2 Tb 3.54
In: 0.5952 0.1903 0.0081  6 Tm 3.11-3.23
In: 0.4048 0.8097 0.5081  6 Tm 3.11-3.23

***

Record 9
A plane-wave DFT calculation with GGA-PBE was carried out for crystalline MgTi5Pt6 at its relaxed geometry.

Energy of formation from the pure elements   -881 meV per atom
Crystal system   orthorhombic
Total magnetization   1.23 μB per cell
Space group   Immm
E_tot   -87.9 eV/cell

Unit cell a=4.0598 b=7.4353 c=7.4353 alpha=109.08 beta=105.84 gamma=105.84
With the nearest neighbours (Å) after each atom.
Fractional positions:
Pt: 0.7527 0.9212 0.5844  7 Ti 2.69-2.83, 1 Mg 2.78, 4 Pt 2.83-2.88
Pt: 0.2473 0.4156 0.0788  7 Ti 2.69-2.83, 1 Mg 2.78, 4 Pt 2.83-2.88
Pt: 0.2586 0.7588 0.7588  2 Mg 2.74, 6 Ti 2.74-2.83, 4 Pt 2.88
Pt: 0.7414 0.2412 0.2412  2 Mg 2.74, 6 Ti 2.74-2.83, 4 Pt 2.88
Pt: 0.7527 0.5844 0.9212  7 Ti 2.69-2.83, 1 Mg 2.78, 4 Pt 2.83-2.88
Pt: 0.2473 0.0788 0.4156  7 Ti 2.69-2.83, 1 Mg 2.78, 4 Pt 2.83-2.88
Ti: 0.5000 0.5000 0.5000  4 Ti 2.78, 8 Pt 2.80-2.83
Ti: 0.5000 0.8234 0.1766  8 Pt 2.69-2.82, 2 Ti 2.86, 2 Mg 2.95
Ti: 0.0000 0.3427 0.6573  8 Pt 2.74-2.83, 4 Ti 2.78-2.86
Ti: 0.0000 0.6573 0.3427  8 Pt 2.74-2.83, 4 Ti 2.78-2.86
Ti: 0.5000 0.1766 0.8234  8 Pt 2.69-2.82, 2 Ti 2.86, 2 Mg 2.95
Mg: 0.0000 0.0000 0.0000  8 Pt 2.74-2.78, 4 Ti 2.95

***

Record 10
A plane-wave DFT calculation with GGA-PBE was carried out for crystalline LaAgSe at its relaxed geometry.

Crystal system   trigonal
Total magnetization   0.00 μB per cell
Energy relative to the elements, uncorrected   -0.852 eV per atom
Space group   P3m1
E_tot   -13.8 eV/cell

Unit cell a=4.4453 b=4.4453 c=4.8910 alpha=90.00 beta=90.00 gamma=120.00
With the nearest neighbours (Å) after each atom.
Fractional positions:
La: 0.6667 0.3333 0.3468  3 Se 3.05, 3 Ag 3.16
Se: 0.3333 0.6667 0.6826  3 Ag 2.93, 3 La 3.05
Ag: 0.0000 0.0000 0.9706  3 Se 2.93, 3 La 3.16

***

Record 11
A plane-wave DFT calculation with GGA-PBE was carried out for crystalline BaLaY2 at its relaxed geometry.

Energy of formation from the pure elements   218 meV per atom
Crystal system   tetragonal
Total magnetization   0.00 μB per cell
Space group   I4/mmm
E_tot   -18.9 eV/cell

Unit cell a=6.4229 b=6.4229 c=6.4229 alpha=129.77 beta=129.77 gamma=73.78
With the nearest neighbours (Å) after each atom.
Fractional positions:
Y: 0.0000 0.0000 0.0000  4 Ba 3.75, 4 La 3.75, 4 Y 3.86
Y: 0.5000 0.5000 0.0000  4 La 3.75, 4 Ba 3.75, 4 Y 3.86
Ba: 0.2500 0.7500 0.5000  8 Y 3.75, 4 La 3.86
La: 0.7500 0.2500 0.5000  8 Y 3.75, 4 Ba 3.86

***

Record 12
A plane-wave DFT calculation with GGA-PBE was carried out for crystalline DyScSi at its relaxed geometry.

Crystal system   tetragonal
Total magnetization   0.00 μB per cell
Energy relative to the elements, uncorrected   -0.625 eV per atom
Space group   P4/nmm
E_tot   -36.5 eV/cell

Unit cell a=4.1934 b=4.1934 c=7.7573 alpha=90.00 beta=90.00 gamma=90.00
With the nearest neighbours (Å) after each atom.
Fractional positions:
Si: 0.7500 0.7500 0.7446  4 Sc 2.88, 5 Dy 3.04-3.06
Si: 0.2500 0.2500 0.2554  4 Sc 2.88, 5 Dy 3.04-3.06
Dy: 0.2500 0.2500 0.6469  5 Si 3.04-3.06
Dy: 0.7500 0.7500 0.3531  5 Si 3.04-3.06
Sc: 0.7500 0.2500 0.0000  4 Si 2.88, 4 Sc 2.97
Sc: 0.2500 0.7500 0.0000  4 Si 2.88, 4 Sc 2.97

***

Copy entry 5 word for word.
A plane-wave DFT calculation with GGA-PBE was carried out for crystalline CsSr2Pd at its relaxed geometry.

Energy of formation from the pure elements   -11 meV per atom
Crystal system   tetragonal
Total magnetization   0.00 μB per cell
Space group   I-42d
E_tot   -18.9 eV/cell

Unit cell a=9.2424 b=9.2424 c=9.2822 alpha=60.14 beta=60.14 gamma=90.00
With the nearest neighbours (Å) after each atom.
Fractional positions:
Sr: 0.3658 0.6250 0.2500  2 Pd 2.84
Sr: 0.8750 0.6342 0.7500  2 Pd 2.84
Sr: 0.3842 0.1250 0.2500  2 Pd 2.84
Sr: 0.3750 0.6158 0.7500  2 Pd 2.84
Pd: 0.2500 0.7500 0.5000  4 Sr 2.84
Pd: 0.5000 0.5000 0.0000  4 Sr 2.84
Cs: 0.7500 0.2500 0.5000  12 Sr 5.35-5.50, 4 Pd 5.68, 4 Cs 5.68
Cs: 0.0000 0.0000 0.0000  12 Sr 5.35-5.50, 4 Pd 5.68, 4 Cs 5.68